# 1
# Te2AuI GGA-PBEsol optimized geometry
# - DOS(E_F): 0.6 states/eV per cell
# - Formation energy without anion corrections: -0.386 eV per formula unit
data_Te2AuI
_cell_length_a 12.3730
_cell_length_b 4.0725
_cell_length_c 4.7315
_cell_angle_alpha 90.00
_cell_angle_beta 90.00
_cell_angle_gamma 90.00
_space_group_name_H-M_alt 'P m m a'
_space_group_IT_number 51
loop_
_space_group_symop_operation_xyz
'x,y,z'
'-x,-y,-z'
'-x+1/2,-y,z'
'x+1/2,y,-z'
'x+1/2,-y,-z'
'-x+1/2,y,z'
'-x,y,-z'
'x,-y,z'
loop_
_atom_site_label
_atom_site_type_symbol
_atom_site_fract_x
_atom_site_fract_y
_atom_site_fract_z
Te1 Te 0.0841 0.0000 0.1979
Au1 Au 0.0000 0.5000 0.5000
I1 I 0.2500 0.5000 0.7405

***

# 2
# ZrTe2AuI GGA-PBEsol optimized geometry
# - DOS(E_F): 3.3 states/eV per cell
# - Formation energy without anion corrections: 0.936 eV per formula unit
data_ZrTe2AuI
_cell_length_a 5.5213
_cell_length_b 5.5213
_cell_length_c 5.5074
_cell_angle_alpha 90.00
_cell_angle_beta 90.00
_cell_angle_gamma 90.00
_space_group_name_H-M_alt 'P 4/m m m'
_space_group_IT_number 123
_space_group_name_Hall '-P 4 2'
loop_
_atom_site_label
_atom_site_type_symbol
_atom_site_fract_x
_atom_site_fract_y
_atom_site_fract_z
Zr1 Zr 0.0000 0.0000 0.0000
Te1 Te 0.0000 0.5000 0.0000
Au1 Au 0.5000 0.5000 0.5000
I1 I 0.0000 0.0000 0.5000

***

# 3
# WAu2I GGA-PBEsol optimized geometry
# - DOS(E_F): 12.4 states/eV per cell
# - Formation energy without anion corrections: 5.250 eV per formula unit
data_WAu2I
_cell_length_a 6.8141
_cell_length_b 6.8141
_cell_length_c 6.8141
_cell_angle_alpha 90.00
_cell_angle_beta 90.00
_cell_angle_gamma 90.00
_space_group_name_H-M_alt 'F m -3 m'
_space_group_IT_number 225
_space_group_name_Hall '-F 4 2 3'
loop_
_atom_site_label
_atom_site_type_symbol
_atom_site_fract_x
_atom_site_fract_y
_atom_site_fract_z
W1 W 0.0000 0.0000 0.0000
Au1 Au 0.2500 0.2500 0.2500
I1 I 0.0000 0.0000 0.5000

***

# 4
# ZnAuI3 GGA-PBEsol optimized geometry
# - DOS(E_F): 5.2 states/eV per cell
# - Formation energy without anion corrections: 1.419 eV per formula unit
data_ZnAuI3
_cell_length_a 5.5276
_cell_length_b 5.5276
_cell_length_c 5.5276
_cell_angle_alpha 90.00
_cell_angle_beta 90.00
_cell_angle_gamma 90.00
_space_group_name_H-M_alt 'P m -3 m'
_space_group_IT_number 221
_space_group_name_Hall '-P 4 2 3'
loop_
_atom_site_label
_atom_site_type_symbol
_atom_site_fract_x
_atom_site_fract_y
_atom_site_fract_z
Zn1 Zn 0.0000 0.0000 0.0000
Au1 Au 0.5000 0.5000 0.5000
I1 I 0.0000 0.5000 0.5000

***

# 5
# InAu2 GGA-PBEsol optimized geometry
# - DOS(E_F): 3.6 states/eV per cell
# - Energy of formation: -0.042 eV/atom
data_InAu2
_cell_length_a 3.1797
_cell_length_b 14.0120
_cell_length_c 5.1248
_cell_angle_alpha 90.00
_cell_angle_beta 90.00
_cell_angle_gamma 90.00
_space_group_name_H-M_alt 'C m c m'
_space_group_IT_number 63
_space_group_name_Hall '-C 2c 2'
loop_
_atom_site_label
_atom_site_type_symbol
_atom_site_fract_x
_atom_site_fract_y
_atom_site_fract_z
In1 In 0.0000 0.2081 0.2500
Au1 Au 0.0000 0.1233 0.7500
Au2 Au 0.0000 0.4582 0.7500

***

# 6
# In3Au10 GGA-PBEsol optimized geometry
# - DOS(E_F): 7.0 states/eV per cell
# - Energy of formation: -0.131 eV/atom
data_In3Au10
_cell_length_a 10.5554
_cell_length_b 10.5554
_cell_length_c 4.7712
_cell_angle_alpha 90.00
_cell_angle_beta 90.00
_cell_angle_gamma 120.00
_space_group_name_H-M_alt 'P 63/m'
_space_group_IT_number 176
_space_group_name_Hall '-P 6c'
loop_
_atom_site_label
_atom_site_type_symbol
_atom_site_fract_x
_atom_site_fract_y
_atom_site_fract_z
In1 In 0.1041 0.3626 0.2500
Au1 Au 0.0236 0.5893 0.2500
Au2 Au 0.0511 0.1779 0.7500
Au3 Au 0.2072 0.7206 0.7500
Au4 Au 0.3333 0.6667 0.2500

***

# 7
# InAu3 GGA-PBEsol optimized geometry
# - DOS(E_F): 2.4 states/eV per cell
# - Energy of formation: -0.139 eV/atom
data_InAu3
_cell_length_a 4.7127
_cell_length_b 5.9236
_cell_length_c 5.1013
_cell_angle_alpha 90.00
_cell_angle_beta 90.00
_cell_angle_gamma 90.00
_space_group_name_H-M_alt 'P m m n'
_space_group_IT_number 59
loop_
_space_group_symop_operation_xyz
'x,y,z'
'-x,-y,-z'
'-x+1/2,-y+1/2,z'
'x+1/2,y+1/2,-z'
'x+1/2,-y,-z'
'-x+1/2,y,z'
'-x,y+1/2,-z'
'x,-y+1/2,z'
loop_
_atom_site_label
_atom_site_type_symbol
_atom_site_fract_x
_atom_site_fract_y
_atom_site_fract_z
In1 In 0.2500 0.2500 0.1681
Au1 Au 0.2500 0.5014 0.6646
Au2 Au 0.2500 0.7500 0.1635

***

# 8
# InAu3 GGA-PBEsol optimized geometry
# - DOS(E_F): 1.4 states/eV per cell
# - Energy of formation: -0.097 eV/atom
data_InAu3
_cell_length_a 3.5976
_cell_length_b 3.6102
_cell_length_c 5.6193
_cell_angle_alpha 90.00
_cell_angle_beta 90.00
_cell_angle_gamma 90.00
_space_group_name_H-M_alt 'P m m m'
_space_group_IT_number 47
loop_
_space_group_symop_operation_xyz
'x,y,z'
'-x,-y,-z'
'-x,-y,z'
'x,y,-z'
'x,-y,-z'
'-x,y,z'
'-x,y,-z'
'x,-y,z'
loop_
_atom_site_label
_atom_site_type_symbol
_atom_site_fract_x
_atom_site_fract_y
_atom_site_fract_z
In1 In 0.0000 0.0000 0.0000
Au1 Au 0.0000 0.0000 0.5000
Au2 Au 0.5000 0.5000 0.2528

***

| no. | V (Å³ per cell) | E_tot (eV per atom) |
| --- | --- | --- |
| 1 | 238 | -3.28 |
| 2 | 168 | -4.18 |
| 3 | 316 | -4.54 |
| 4 | 169 | -1.88 |
| 5 | 228 | -3.65 |
| 6 | 460 | -3.84 |
| 7 | 142 | -3.83 |
| 8 | 73 | -3.79 |